# LiMoPCl2, relaxed, DFT PBE
# magnetization: 2.02 μB/cell
# calculated total energy: -3.996 eV/atom
# N(E_F): 0.34 states/eV/atom
data_LiMoPCl2
_chemical_formula_sum 'Li1 Mo1 P1 Cl2'
_space_group_name_H-M_alt 'P 4/m m m'
_space_group_IT_number 123
_space_group_name_Hall '-P 4 2'
_cell_length_a 4.300
_cell_length_b 4.300
_cell_length_c 5.310
_cell_angle_alpha 90.00
_cell_angle_beta 90.00
_cell_angle_gamma 90.00
loop_
_atom_site_label
_atom_site_type_symbol
_atom_site_fract_x
_atom_site_fract_y
_atom_site_fract_z
Li1 Li 0.000 0.000 0.000
Mo1 Mo 0.500 0.500 0.500
P1 P 0.000 0.000 0.500
Cl1 Cl 0.000 0.500 0.000